A plane-wave DFT calculation with GGA-PBE was carried out for crystalline La2Er6Al at its relaxed geometry. Values from VASP.

```
&SYSTEM
  ibrav = 0, nat = 9, ntyp = 3
/
ATOMIC_SPECIES
La 138.91 La.upf
Er 167.26 Er.upf
Al 26.98 Al.upf
ATOMIC_POSITIONS angstrom
La 0.0000 0.0000 2.2228
La 0.0000 0.0000 13.3623
Er 1.7599 -1.6115 5.0287
Er 1.7599 2.3845 0.0000
Er 1.7599 1.6115 5.0287
Er 0.0000 3.4815 2.7639
Er 0.0000 2.7086 7.7925
Er 0.0000 6.7045 2.7639
Al 0.0000 5.0930 0.0000
CELL_PARAMETERS angstrom
-1.7599 5.0930 7.7925
1.7599 -5.0930 7.7925
1.7599 5.0930 -7.7925
```

Properties
Its symmetry is No. 71. The density is 7.776 g/cm3. The density of states at the Fermi level comes out at 10.9 states/eV/f.u. The calculation puts the formation energy at 30 meV per atom. The crystal system is orthorhombic.